1.
MnNb2Al | PBE | relaxed

Cell lengths 2.9770, 2.9770, 7.1384 Å; angles 90.00, 90.00, 90.00 degrees
With the nearest neighbours (Å) after each atom.
Space group P4/mmm (No. 123)
Inequivalent atoms, fractional coordinates:
Mn 0.0000 0.0000 0.0000 x1  8 Nb 2.63
Nb 0.5000 0.5000 0.2217 x2  4 Mn 2.63, 4 Al 2.89
Al 0.0000 0.0000 0.5000 x1  8 Nb 2.89, 4 Al 2.98

The formation energy from the elements is -99 meV/atom. The total moment comes out at 0.0 μB/cell. The crystal system is tetragonal. The density of states at the Fermi level comes out at 4.43 states/eV per cell. As for the raw total energy: -33.45 eV for the cell shown.

=====

2.
KCaSn2 | PBE | relaxed

Cell lengths 4.0888, 4.0888, 8.0222 Å; angles 90.00, 90.00, 90.00 degrees
With the nearest neighbours (Å) after each atom.
Space group P4/mmm (No. 123)
Inequivalent atoms, fractional coordinates:
K 0.0000 0.0000 0.0000 x1  8 Sn 3.79, 2 Ca 4.01, 4 K 4.09
Ca 0.0000 0.0000 0.5000 x1  8 Sn 3.29
Sn 0.5000 0.5000 0.3053 x2  1 Sn 3.12, 4 Ca 3.29

The formation energy from the elements is -350 meV/atom. The total moment comes out at 0.0 μB/cell. The crystal system is tetragonal. The density of states at the Fermi level comes out at 3.09 states/eV per cell. As for the raw total energy: -12.50 eV for the cell shown. The offset from the most stable computed form is 0.000 eV/atom.

=====

3.
Pr2Zn3HgAu4 | PBE | relaxed

Cell lengths 4.2745, 4.2745, 11.8566 Å; angles 90.00, 90.00, 90.00 degrees
With the nearest neighbours (Å) after each atom.
Space group P-4m2 (No. 115)
Inequivalent atoms, fractional coordinates:
Pr 0.0000 0.5000 0.2398 x2  8 Au 3.26-3.56, 4 Zn 3.30
Zn 0.0000 0.5000 0.8710 x2  5 Au 2.53-2.63
Zn 0.5000 0.5000 0.5000 x1  4 Au 2.84, 4 Hg 3.02
Hg 0.0000 0.0000 0.5000 x1  4 Au 2.84, 4 Zn 3.02
Au 0.0000 0.0000 0.0000 x1  4 Zn 2.63
Au 0.0000 0.5000 0.6578 x2  1 Zn 2.53
Au 0.5000 0.5000 0.0000 x1  4 Zn 2.63

The formation energy from the elements is -475 meV/atom. The total moment comes out at 0.0 μB/cell. The crystal system is tetragonal. The density of states at the Fermi level comes out at 5.77 states/eV per cell. As for the raw total energy: -31.55 eV for the cell shown.

=====

4.
K4Pa3AgO12 | PBE | relaxed

Cell lengths 8.6330, 8.6330, 8.6330 Å; angles 90.00, 90.00, 90.00 degrees
With the nearest neighbours (Å) after each atom.
Space group Im-3m (No. 229)
Inequivalent atoms, fractional coordinates:
K 0.2500 0.2500 0.2500 x8  12 O 3.05
Pa 0.0000 0.0000 0.5000 x6  6 O 2.12-2.16
Ag 0.0000 0.0000 0.0000 x2  6 O 2.20
O 0.0000 0.0000 0.2546 x12  1 Pa 2.12, 1 Ag 2.20
O 0.0000 0.2500 0.5000 x12  2 Pa 2.16

The total moment comes out at 0.0 μB/cell. The crystal system is cubic. The density of states at the Fermi level comes out at 18.52 states/eV per cell. As for the raw total energy: -286.18 eV for the cell shown. The calculation puts the raw formation energy at -2393 meV/atom.

=====

5.
Ca2Sc2Tl | PBE | relaxed

Cell lengths 7.6370, 7.6370, 5.3617 Å; angles 90.00, 90.00, 90.00 degrees
With the nearest neighbours (Å) after each atom.
Space group P4/mbm (No. 127)
Inequivalent atoms, fractional coordinates:
Ca 0.1666 0.3334 0.0000 x4  6 Sc 3.38-3.58, 1 Ca 3.60
Sc 0.1429 0.6429 0.5000 x4  2 Tl 2.94, 1 Sc 3.09
Tl 0.0000 0.0000 0.5000 x2  4 Sc 2.94

The formation energy from the elements is 90 meV/atom. The total moment comes out at 3.1 μB/cell. The crystal system is tetragonal. The density of states at the Fermi level comes out at 15.28 states/eV per cell. As for the raw total energy: -37.16 eV for the cell shown.

=====

6.
Rb3NaU2S9 | PBE | relaxed

Cell lengths 7.4057, 7.4057, 9.2480 Å; angles 90.00, 90.00, 120.00 degrees
With the nearest neighbours (Å) after each atom.
Space group P-3m1 (No. 164)
Inequivalent atoms, fractional coordinates:
Rb 0.0000 0.0000 0.0000 x1  12 S 3.67-3.70
Rb 0.3333 0.6667 0.6518 x2  12 S 3.72-3.86
Na 0.0000 0.0000 0.5000 x1  6 S 2.82
U 0.3333 0.6667 0.1642 x2  6 S 2.47-2.62
S 0.0000 0.5000 0.0000 x3  2 U 2.62
S 0.1745 0.3490 0.3147 x6  1 U 2.47

The total moment comes out at 0.0 μB/cell. The crystal system is trigonal. The density of states at the Fermi level comes out at 8.90 states/eV per cell. As for the raw total energy: -80.13 eV for the cell shown. The calculation puts the raw formation energy at -1079 meV/atom.

=====

7.
AlTc2Se | PBE | relaxed

Cell lengths 2.9896, 4.8609, 8.5080 Å; angles 90.00, 90.00, 90.00 degrees
With the nearest neighbours (Å) after each atom.
Space group Immm (No. 71)
Inequivalent atoms, fractional coordinates:
Al 0.0000 0.0000 0.0000 x2  4 Tc 2.76, 4 Se 2.85, 2 Al 2.99
Tc 0.0000 0.5000 0.2273 x4  2 Se 2.44
Se 0.0000 0.0000 0.5000 x2  4 Tc 2.44

The total moment comes out at 0.0 μB/cell. The crystal system is orthorhombic. The density of states at the Fermi level comes out at 5.98 states/eV per cell. As for the raw total energy: -54.20 eV for the cell shown. The offset from the most stable computed form is 0.297 eV/atom. The calculation puts the raw formation energy at 214 meV/atom.

=====

8.
PmPrNdAl | PBE | relaxed

Cell lengths 7.8050, 7.8050, 7.8050 Å; angles 90.00, 90.00, 90.00 degrees
With the nearest neighbours (Å) after each atom.
Space group F-43m (No. 216)
Inequivalent atoms, fractional coordinates:
Pm 0.0000 0.0000 0.0000 x4  4 Pr 3.38, 4 Nd 3.38
Pr 0.2500 0.2500 0.2500 x4  4 Pm 3.38, 4 Al 3.38
Nd 0.2500 0.2500 0.7500 x4  4 Pm 3.38, 4 Al 3.38
Al 0.0000 0.0000 0.5000 x4  4 Pr 3.38, 4 Nd 3.38

The formation energy from the elements is -24 meV/atom. The total moment comes out at 0.0 μB/cell. The crystal system is cubic. The density of states at the Fermi level comes out at 30.66 states/eV per cell. As for the raw total energy: -72.55 eV for the cell shown. The offset from the most stable computed form is 0.141 eV/atom.

=====

9.
Pr8Si3SCl4 | PBE | relaxed

Cell lengths 8.4304, 8.4304, 21.2777 Å; angles 90.00, 90.00, 120.00 degrees
With the nearest neighbours (Å) after each atom.
Space group R-3m (No. 166, hexagonal axes)
Inequivalent atoms, fractional coordinates:
Pr 0.0000 0.0000 0.2416 x6  3 Si 2.91, 3 Cl 3.12
Pr 0.0008 0.5004 0.2396 x18  1 S 2.88, 2 Si 2.89, 3 Cl 3.14-3.15
Si 0.0000 0.5000 0.5000 x9  6 Pr 2.89-2.91
S 0.0000 0.0000 0.5000 x3  6 Pr 2.88
Cl 0.0000 0.0000 0.0000 x3  6 Pr 3.15
Cl 0.0000 0.5000 0.0000 x9  6 Pr 3.12-3.14

The total moment comes out at 0.0 μB/cell. The crystal system is trigonal. The density of states at the Fermi level comes out at 22.13 states/eV per cell. As for the raw total energy: -262.42 eV for the cell shown. The calculation puts the raw formation energy at -1341 meV/atom.

=====

10.
Cu4Pd2Au3 | PBE | relaxed

Cell lengths 14.9795, 2.8051, 6.5613 Å; angles 90.00, 98.29, 90.00 degrees
With the nearest neighbours (Å) after each atom.
Space group C2/m (No. 12)
Inequivalent atoms, fractional coordinates:
Cu 0.0521 0.0000 0.1891 x4  4 Cu 2.55-2.81, 6 Au 2.66-2.78, 1 Pd 2.71
Cu 0.2211 0.0000 0.1699 x4  3 Cu 2.55-2.81, 3 Au 2.62-2.69, 3 Pd 2.63-2.70
Pd 0.1721 0.0000 0.5395 x4  4 Cu 2.63-2.71, 4 Pd 2.81-2.83, 2 Au 2.91
Au 0.0000 0.5000 0.5000 x2  4 Cu 2.68, 4 Au 2.81-2.83, 4 Pd 2.91
Au 0.1096 0.5000 0.8895 x4  7 Cu 2.62-2.78, 3 Au 2.81-2.83

The formation energy from the elements is -25 meV/atom. The total moment comes out at 0.0 μB/cell. The crystal system is monoclinic. The density of states at the Fermi level comes out at 6.61 states/eV per cell. As for the raw total energy: -73.65 eV for the cell shown. The offset from the most stable computed form is 0.066 eV/atom.

=====

11.
K12Na6Pd | PBE | relaxed

Cell lengths 13.1719, 13.1719, 21.5338 Å; angles 90.00, 90.00, 120.00 degrees
With the nearest neighbours (Å) after each atom.
Space group R-3m (No. 166, hexagonal axes)
Inequivalent atoms, fractional coordinates:
K 0.0882 0.5441 0.4119 x18  5 Na 4.17-4.55, 5 K 4.30-4.51
K 0.1039 0.5520 0.0889 x18  9 K 4.25-4.53, 3 Na 4.46-4.63
Na 0.0992 0.1984 0.0805 x18  1 Pd 2.85
Pd 0.0000 0.0000 0.0000 x3  6 Na 2.85

The formation energy from the elements is 32 meV/atom. The total moment comes out at 0.0 μB/cell. The crystal system is trigonal. The density of states at the Fermi level comes out at 41.54 states/eV per cell. As for the raw total energy: -76.98 eV for the cell shown.

=====

12.
InBiI3 | PBE | relaxed

Cell lengths 4.4497, 9.7672, 10.3706 Å; angles 85.16, 89.99, 76.87 degrees
With the nearest neighbours (Å) after each atom.
Space group P-1 (No. 2)
Inequivalent atoms, fractional coordinates:
In 0.2225 0.0558 0.2994 x2  3 I 3.23-3.34
Bi 0.0474 0.4070 0.8718 x2  4 I 3.11-3.14, 1 Bi 3.32
I 0.1644 0.1722 0.5940 x2  3 In 3.23-3.34
I 0.3474 0.8056 0.0218 x2  2 Bi 3.14
I 0.4621 0.5772 0.7164 x2  2 Bi 3.11-3.12

The total moment comes out at 0.0 μB/cell. The crystal system is triclinic. As for the raw total energy: -26.37 eV for the cell shown. The offset from the most stable computed form is 0.000 eV/atom. The calculation puts the raw formation energy at -383 meV/atom.

=====

13.
PuTlSiSe4 | PBE | relaxed

Cell lengths 6.7649, 6.8609, 9.0382 Å; angles 90.00, 107.70, 90.00 degrees
With the nearest neighbours (Å) after each atom.
Space group P2_1/m (No. 11)
Inequivalent atoms, fractional coordinates:
Pu 0.2369 0.2500 0.0561 x2  6 Se 2.95-3.03
Tl 0.2444 0.2500 0.5634 x2  8 Se 3.36-3.63
Si 0.2189 0.7500 0.8214 x2  4 Se 2.27-2.29
Se 0.0067 0.5082 0.2190 x4  1 Si 2.29
Se 0.4109 0.7500 0.6547 x2  1 Si 2.27
Se 0.4145 0.7500 0.0773 x2  1 Si 2.29

The total moment comes out at 10.0 μB/cell. The crystal system is monoclinic. The density of states at the Fermi level comes out at 24.60 states/eV per cell. As for the raw total energy: -83.48 eV for the cell shown. The calculation puts the raw formation energy at -811 meV/atom.

=====

14.
LaYEr2P4 | PBE | relaxed

Cell lengths 7.0273, 4.0610, 7.0288 Å; angles 90.00, 109.43, 90.00 degrees
With the nearest neighbours (Å) after each atom.
Space group P2/m (No. 10)
Inequivalent atoms, fractional coordinates:
La 0.0000 0.0000 0.0000 x1  6 P 2.93
Y 0.0000 0.5000 0.5000 x1  6 P 2.88
Er 0.5000 0.0000 0.5000 x1  6 P 2.81
Er 0.5000 0.5000 0.0000 x1  6 P 2.86
P 0.2573 0.0000 0.7467 x2  3 Er 2.81-2.86, 2 Y 2.88, 1 La 2.93
P 0.2621 0.5000 0.2599 x2  3 Er 2.81-2.86, 1 Y 2.88, 2 La 2.93

The formation energy from the elements is -1587 meV/atom. The total moment comes out at 0.0 μB/cell. The crystal system is monoclinic. The density of states at the Fermi level comes out at 0.81 states/eV per cell. As for the raw total energy: -54.85 eV for the cell shown.

=====

15.
NbInTc2 | PBE | relaxed

Cell lengths 3.2457, 3.2457, 6.4350 Å; angles 90.00, 90.00, 90.00 degrees
With the nearest neighbours (Å) after each atom.
Space group P4/mmm (No. 123)
Inequivalent atoms, fractional coordinates:
Nb 0.0000 0.0000 0.0000 x1  8 Tc 2.74
In 0.0000 0.0000 0.5000 x1  8 Tc 2.87
Tc 0.5000 0.5000 0.2322 x2  4 Nb 2.74, 4 In 2.87, 1 Tc 2.99

The formation energy from the elements is 9 meV/atom. The total moment comes out at 0.0 μB/cell. The crystal system is tetragonal. The density of states at the Fermi level comes out at 5.92 states/eV per cell. As for the raw total energy: -33.50 eV for the cell shown.

=====

16.
PmIn4Au2 | PBE | relaxed

Cell lengths 18.7095, 4.6488, 7.5972 Å; angles 90.00, 90.00, 90.00 degrees
With the nearest neighbours (Å) after each atom.
Space group Pnma (No. 62)
Inequivalent atoms, fractional coordinates:
Pm 0.1434 0.2500 0.0329 x4  9 In 3.31-3.56, 4 Au 3.44-3.48
In 0.0345 0.7500 0.8657 x4  3 Au 2.83-2.89, 1 In 3.01
In 0.0664 0.2500 0.4842 x4  4 Au 2.84-2.99
In 0.1852 0.7500 0.3305 x4  4 Au 2.81-2.88, 1 In 3.12
In 0.1872 0.7500 0.7415 x4  3 Au 2.85-2.87, 2 In 3.01-3.12
Au 0.0388 0.7500 0.2460 x4  7 In 2.81-2.99
Au 0.2183 0.2500 0.5390 x4  7 In 2.85-2.88

The formation energy from the elements is -414 meV/atom. The total moment comes out at 0.0 μB/cell. The crystal system is orthorhombic. The density of states at the Fermi level comes out at 10.42 states/eV per cell. As for the raw total energy: -100.63 eV for the cell shown. The offset from the most stable computed form is 0.000 eV/atom.

=====

17.
InCo2Br | PBE | relaxed

Cell lengths 4.4833, 4.4833, 15.3444 Å; angles 90.00, 90.00, 90.00 degrees
With the nearest neighbours (Å) after each atom.
Space group I-42d (No. 122)
Inequivalent atoms, fractional coordinates:
In 0.0000 0.0000 0.0000 x4  4 Co 2.73
Co 0.1461 0.2500 0.6250 x8  2 Br 2.32
Br 0.0000 0.0000 0.5000 x4  4 Co 2.32

The total moment comes out at 8.1 μB/cell. The crystal system is tetragonal. The density of states at the Fermi level comes out at 11.51 states/eV per cell. As for the raw total energy: -64.66 eV for the cell shown. The offset from the most stable computed form is 0.359 eV/atom. The calculation puts the raw formation energy at 615 meV/atom.

=====

18.
PrReHgO6 | PBE | relaxed

Cell lengths 5.3935, 5.5723, 6.1287 Å; angles 106.87, 111.75, 103.89 degrees
With the nearest neighbours (Å) after each atom.
Space group P1 (No. 1)
Inequivalent atoms, fractional coordinates:
Pr 0.0000 0.0000 0.0000 x1  6 O 2.32-2.53
Re 0.6434 0.8000 0.3509 x1  4 O 1.79-1.85
Hg 0.3526 0.3706 0.7032 x1  2 O 2.03-2.04
O 0.3692 0.4704 0.2341 x1  1 Re 1.79
O 0.4183 0.9114 0.1224 x1  1 Re 1.85
O 0.6165 0.9973 0.6280 x1  1 Re 1.81
O 0.7321 0.6238 0.0321 x1  1 Hg 2.04, 1 Re 2.19
O 0.9571 0.7599 0.5611 x1  1 Re 1.82
O 0.9635 0.1355 0.3832 x1  1 Hg 2.03, 1 Re 2.12

The total moment comes out at 0.0 μB/cell. The crystal system is triclinic. The density of states at the Fermi level comes out at 0.00 states/eV per cell. As for the raw total energy: -63.04 eV for the cell shown. The calculation puts the raw formation energy at -1751 meV/atom.

=====

19.
Ac6NdPb2 | PBE | relaxed

Cell lengths 13.1836, 6.0422, 11.1562 Å; angles 90.00, 125.23, 90.00 degrees
With the nearest neighbours (Å) after each atom.
Space group C2/m (No. 12)
Inequivalent atoms, fractional coordinates:
Ac 0.0743 0.0000 0.3952 x4  3 Pb 3.41-3.63, 1 Ac 3.82
Ac 0.1578 0.5000 0.6750 x4  9 Ac 3.72-4.04, 4 Pb 3.82-4.14, 1 Nd 3.82
Ac 0.1972 0.5000 0.0520 x4  2 Pb 3.36-3.56
Nd 0.0000 0.0000 0.0000 x2  8 Ac 3.81-3.93, 4 Pb 3.97
Pb 0.1076 0.5000 0.2793 x4  5 Ac 3.36-3.63

The formation energy from the elements is -179 meV/atom. The total moment comes out at 0.0 μB/cell. The crystal system is monoclinic. The density of states at the Fermi level comes out at 23.30 states/eV per cell. As for the raw total energy: -76.90 eV for the cell shown.

=====

20.
CeHo2Co | PBE | relaxed

Cell lengths 3.3542, 3.3542, 8.8187 Å; angles 90.00, 90.00, 90.00 degrees
With the nearest neighbours (Å) after each atom.
Space group P4/mmm (No. 123)
Inequivalent atoms, fractional coordinates:
Ce 0.0000 0.0000 0.0000 x1  4 Ce 3.35, 8 Ho 3.67
Ho 0.5000 0.5000 0.3175 x2  4 Co 2.87
Co 0.0000 0.0000 0.5000 x1  8 Ho 2.87

The formation energy from the elements is -40 meV/atom. The total moment comes out at 1.9 μB/cell. The crystal system is tetragonal. The density of states at the Fermi level comes out at 5.95 states/eV per cell. As for the raw total energy: -22.35 eV for the cell shown. The offset from the most stable computed form is 0.146 eV/atom.